# 1
! MgCuTe, relaxed, DFT GGA-PBE; values from VASP
! formation energy (no corrections) = -0.03 eV/atom
! D(E_F) = 0.51 states/eV per atom
! spin magnetization = 0.0 μB/cell
&SYSTEM
  ibrav = 0, nat = 3, ntyp = 3
/
ATOMIC_SPECIES
Mg 24.30 Mg.upf
Cu 63.55 Cu.upf
Te 127.60 Te.upf
CELL_PARAMETERS angstrom
-1.941 1.941 4.196
1.941 -1.941 4.196
1.941 1.941 -4.196
ATOMIC_POSITIONS angstrom
Mg 0.000 0.000 0.000
Cu 0.000 0.000 5.628
Te 0.000 0.000 2.927

=====

# 2
! Dy8HoTh2, relaxed, DFT GGA-PBE; values from VASP
! energy relative to the elements = 0.199 eV/atom
! D(E_F) = 1.52 states/eV per atom
! spin magnetization = 0.0 μB/cell
&SYSTEM
  ibrav = 0, nat = 11, ntyp = 3
/
ATOMIC_SPECIES
Dy 162.50 Dy.upf
Ho 164.93 Ho.upf
Th 232.04 Th.upf
CELL_PARAMETERS angstrom
9.412 -3.510 0.000
9.412 3.510 0.000
-0.212 0.000 5.581
ATOMIC_POSITIONS angstrom
Dy 0.831 0.000 1.321
Dy 6.895 1.897 1.466
Dy 5.828 0.000 4.285
Dy 11.717 1.897 4.116
Dy 6.895 -1.897 1.466
Dy 12.785 0.000 1.297
Dy 11.717 -1.897 4.116
Dy 17.781 0.000 4.260
Ho 9.412 0.000 0.000
Th 4.057 0.000 1.462
Th 14.556 0.000 4.119